Sn3MoAs (PBE-GGA, optimized geometry); symmetry = Pm-3m (221); E above lowest polymorph = 0.0 meV per atom; total magnetic moment = 2.9 Bohr magnetons per cell; calculated volume = 146.7 Å³ per cell; theoretical density = 5967 kg/m3
1.0
5.2736 0.0000 0.0000
0.0000 5.2736 0.0000
0.0000 0.0000 5.2736
Sn Mo As
3 1 1
Cartesian
0.0000 0.0000 2.6368 Sn
0.0000 2.6368 0.0000 Sn
2.6368 0.0000 0.0000 Sn
0.0000 0.0000 0.0000 Mo
2.6368 2.6368 2.6368 As

NdSc4Ge4 (PBE-GGA, optimized geometry); symmetry = P4_2/n (86); total energy = -108.0 eV/cell; total magnetic moment = 0.0 Bohr magnetons per cell; calculated volume = 435.7 Å³ per cell; theoretical density = 4685 kg/m3
1.0
8.9588 0.0000 0.0000
0.0000 8.9588 0.0000
0.0000 0.0000 5.4280
Nd Sc Ge
2 8 8
Cartesian
2.2397 2.2397 1.3570 Nd
6.7191 6.7191 4.0710 Nd
0.9824 5.6807 0.7429 Sc
1.2013 7.9763 3.4569 Sc
3.2781 5.4618 3.4569 Sc
3.4969 7.7575 0.7429 Sc
5.4618 1.2013 4.6852 Sc
5.6807 3.4969 1.9712 Sc
7.7575 0.9824 1.9712 Sc
7.9763 3.2781 4.6852 Sc
0.5428 5.2714 3.5386 Ge
0.7920 8.4160 0.8246 Ge
3.6874 5.0222 0.8246 Ge
3.9366 8.1667 3.5386 Ge
5.0222 0.7920 1.8895 Ge
5.2714 3.9366 4.6035 Ge
8.1667 0.5428 4.6035 Ge
8.4160 3.6874 1.8895 Ge

Ba2CuPdN (PBE-GGA, optimized geometry); symmetry = P4/mmm (123); E above lowest polymorph = 0.0 meV per atom; total magnetic moment = 0.0 Bohr magnetons per cell; calculated volume = 121.7 Å³ per cell; theoretical density = 6256 kg/m3
1.0
5.7174 0.0000 0.0000
0.0000 5.7174 0.0000
0.0000 0.0000 3.7240
Ba Cu Pd N
2 1 1 1
Cartesian
0.0000 2.8587 0.0000 Ba
2.8587 0.0000 0.0000 Ba
0.0000 0.0000 1.8620 Cu
2.8587 2.8587 1.8620 Pd
0.0000 0.0000 0.0000 N

LiRe2Ru (PBE-GGA, optimized geometry); symmetry = F-43m (216); E above lowest polymorph = 0.0 meV per atom; total magnetic moment = 0.0 Bohr magnetons per cell; calculated volume = 55.5 Å³ per cell; theoretical density = 14376 kg/m3
1.0
0.0000 3.0274 3.0274
3.0274 0.0000 3.0274
3.0274 3.0274 0.0000
Li Re Ru
1 2 1
Cartesian
0.0000 0.0000 0.0000 Li
1.5137 1.5137 1.5137 Re
3.0274 3.0274 3.0274 Re
4.5411 4.5411 4.5411 Ru

MgZn2GaC (PBE-GGA, optimized geometry); symmetry = P4/mmm (123); total energy = -10.3 eV/cell; total magnetic moment = 0.0 Bohr magnetons per cell; calculated volume = 108.1 Å³ per cell; theoretical density = 3637 kg/m3
1.0
5.1780 0.0000 0.0000
0.0000 5.1780 0.0000
0.0000 0.0000 4.0332
Mg Zn Ga C
1 2 1 1
Cartesian
0.0000 0.0000 0.0000 Mg
0.0000 2.5890 0.0000 Zn
2.5890 0.0000 0.0000 Zn
2.5890 2.5890 2.0166 Ga
0.0000 0.0000 2.0166 C

Ti5Se4 (PBE-GGA, optimized geometry); symmetry = I4/m (87); total energy = -63.0 eV/cell; total magnetic moment = 0.0 Bohr magnetons per cell; calculated volume = 164.7 Å³ per cell; theoretical density = 5596 kg/m3
1.0
-4.8630 4.8630 1.7416
4.8630 -4.8630 1.7416
4.8630 4.8630 -1.7416
Ti Se
5 4
Cartesian
0.0000 0.0000 0.0000 Ti
6.1105 2.9821 0.0000 Ti
2.9821 3.6155 0.0000 Ti
1.8809 1.2475 1.7416 Ti
-1.2475 1.8809 1.7416 Ti
7.0741 0.5553 0.0000 Se
0.5553 2.6520 0.0000 Se
4.3078 2.2111 1.7416 Se
-2.2111 4.3078 1.7416 Se

AcTlBi2 (PBE-GGA, optimized geometry); symmetry = P4/mmm (123); E above lowest polymorph = 0.0 meV per atom; total magnetic moment = 0.0 Bohr magnetons per cell; calculated volume = 131.8 Å³ per cell; theoretical density = 10700 kg/m3
1.0
5.1701 0.0000 0.0000
0.0000 5.1701 0.0000
0.0000 0.0000 4.9310
Ac Tl Bi
1 1 2
Cartesian
0.0000 0.0000 0.0000 Ac
2.5850 2.5850 0.0000 Tl
0.0000 2.5850 2.4655 Bi
2.5850 0.0000 2.4655 Bi

ZnHPd (PBE-GGA, optimized geometry); symmetry = I4mm (107); total energy = -9.5 eV/cell; total magnetic moment = 0.0 Bohr magnetons per cell; calculated volume = 36.7 Å³ per cell; theoretical density = 7829 kg/m3
1.0
-1.4671 1.4671 4.2576
1.4671 -1.4671 4.2576
1.4671 1.4671 -4.2576
Zn H Pd
1 1 1
Cartesian
0.0000 0.0000 0.0000 Zn
0.0000 0.0000 4.2066 H
0.0000 0.0000 5.9271 Pd

Gd2AlIn (PBE-GGA, optimized geometry); symmetry = P4/mmm (123); total energy = -36.4 eV/cell; total magnetic moment = 14.6 Bohr magnetons per cell; calculated volume = 102.2 Å³ per cell; theoretical density = 7416 kg/m3
1.0
3.3986 0.0000 0.0000
0.0000 3.3986 0.0000
0.0000 0.0000 8.8452
Gd Al In
2 1 1
Cartesian
0.0000 0.0000 2.0803 Gd
0.0000 0.0000 6.7650 Gd
1.6993 1.6993 0.0000 Al
1.6993 1.6993 4.4226 In

Ho3TmZr2N6 (PBE-GGA, optimized geometry); symmetry = C2/m (12); total energy = -106.6 eV/cell; total magnetic moment = 0.0 Bohr magnetons per cell; calculated volume = 161.9 Å³ per cell; theoretical density = 9543 kg/m3
1.0
2.9114 -5.0439 0.0000
2.9114 5.0439 0.0000
-1.9399 0.0000 5.5110
Ho Tm Zr N
3 1 2 6
Cartesian
0.0000 0.0000 0.0000 Ho
2.9114 1.6790 0.0000 Ho
2.9114 -1.6790 0.0000 Ho
1.9415 0.0000 2.7555 Tm
1.9415 3.3638 2.7555 Zr
1.9415 -3.3638 2.7555 Zr
0.9505 1.7150 1.4443 N
-0.0402 0.0000 4.0588 N
0.9505 -1.7150 1.4443 N
2.9325 1.7150 4.0667 N
3.9232 0.0000 1.4522 N
2.9325 -1.7150 4.0667 N

HoCdSn2 (PBE-GGA, optimized geometry); symmetry = R-3m (166); E above lowest polymorph = 241.6 meV per atom; total magnetic moment = 0.0 Bohr magnetons per cell; calculated volume = 105.4 Å³ per cell; theoretical density = 8108 kg/m3
1.0
2.4578 1.4190 5.0381
-2.4578 1.4190 5.0381
0.0000 -2.8380 5.0381
Ho Cd Sn
1 1 2
Cartesian
0.0000 0.0000 0.0000 Ho
0.0000 0.0000 7.5572 Cd
0.0000 0.0000 3.6640 Sn
0.0000 0.0000 11.4504 Sn

La2PrCdHg4 (PBE-GGA, optimized geometry); symmetry = R-3m (166); total energy = -20.4 eV/cell; total magnetic moment = 0.0 Bohr magnetons per cell; calculated volume = 225.2 Å³ per cell; theoretical density = 9831 kg/m3
1.0
2.6582 1.5347 9.2015
-2.6582 1.5347 9.2015
0.0000 -3.0694 9.2015
La Pr Cd Hg
2 1 1 4
Cartesian
0.0000 0.0000 6.6237 La
0.0000 0.0000 20.9809 La
0.0000 0.0000 0.0000 Pr
0.0000 0.0000 13.8023 Cd
0.0000 0.0000 3.3970 Hg
0.0000 0.0000 10.2315 Hg
0.0000 0.0000 17.3731 Hg
0.0000 0.0000 24.2076 Hg

AcAs3Os (PBE-GGA, optimized geometry); symmetry = Pm-3m (221); total energy = -29.6 eV/cell; total magnetic moment = 0.0 Bohr magnetons per cell; calculated volume = 119.2 Å³ per cell; theoretical density = 8943 kg/m3
1.0
4.9216 0.0000 0.0000
0.0000 4.9216 0.0000
0.0000 0.0000 4.9216
Ac As Os
1 3 1
Cartesian
0.0000 0.0000 0.0000 Ac
0.0000 2.4608 2.4608 As
2.4608 0.0000 2.4608 As
2.4608 2.4608 0.0000 As
2.4608 2.4608 2.4608 Os

KBaSi2 (PBE-GGA, optimized geometry); symmetry = I4/mmm (139); E above lowest polymorph = 496.6 meV per atom; total magnetic moment = 0.0 Bohr magnetons per cell; calculated volume = 114.4 Å³ per cell; theoretical density = 3376 kg/m3
1.0
-2.3989 2.3989 4.9703
2.3989 -2.3989 4.9703
2.3989 2.3989 -4.9703
K Ba Si
1 1 2
Cartesian
0.0000 0.0000 0.0000 K
0.0000 0.0000 4.9703 Ba
2.3989 0.0000 2.4852 Si
0.0000 2.3989 2.4852 Si

LaPrY2Ho5 (PBE-GGA, optimized geometry); symmetry = I4/mcm (140); total energy = -86.0 eV/cell; total magnetic moment = 0.0 Bohr magnetons per cell; calculated volume = 593.9 Å³ per cell; theoretical density = 7171 kg/m3
1.0
-4.3952 4.3952 7.6856
4.3952 -4.3952 7.6856
4.3952 4.3952 -7.6856
La Pr Y Ho
2 2 4 10
Cartesian
0.0000 0.0000 3.8428 La
0.0000 0.0000 11.5284 La
4.3952 0.0000 3.8428 Pr
0.0000 4.3952 3.8428 Pr
5.4267 1.0315 0.0000 Y
1.0315 3.3638 0.0000 Y
3.3638 1.0315 7.6856 Y
-1.0315 3.3638 7.6856 Y
0.0000 0.0000 0.0000 Ho
2.6051 1.7901 -2.0592 Ho
2.6051 -1.7901 5.6264 Ho
2.6051 1.7901 2.0592 Ho
2.6051 -1.7901 9.7448 Ho
0.0000 0.0000 7.6856 Ho
1.7901 6.1854 -2.0592 Ho
1.7901 2.6051 5.6264 Ho
1.7901 6.1854 2.0592 Ho
1.7901 2.6051 9.7448 Ho

CdAuC3 (PBE-GGA, optimized geometry); symmetry = Pm-3m (221); E above lowest polymorph = 0.0 meV per atom; total magnetic moment = 0.0 Bohr magnetons per cell; calculated volume = 75.4 Å³ per cell; theoretical density = 7611 kg/m3
1.0
4.2238 0.0000 0.0000
0.0000 4.2238 0.0000
0.0000 0.0000 4.2238
Cd Au C
1 1 3
Cartesian
0.0000 0.0000 0.0000 Cd
2.1119 2.1119 2.1119 Au
0.0000 2.1119 2.1119 C
2.1119 0.0000 2.1119 C
2.1119 2.1119 0.0000 C

Zn2GaPb2 (PBE-GGA, optimized geometry); symmetry = P4/mbm (127); E above lowest polymorph = 134.0 meV per atom; total magnetic moment = 0.0 Bohr magnetons per cell; calculated volume = 247.7 Å³ per cell; theoretical density = 8244 kg/m3
1.0
8.3933 0.0000 0.0000
0.0000 8.3933 0.0000
0.0000 0.0000 3.5165
Zn Ga Pb
4 2 4
Cartesian
0.9247 3.2720 0.0000 Zn
3.2720 7.4686 0.0000 Zn
5.1213 0.9247 0.0000 Zn
7.4686 5.1213 0.0000 Zn
0.0000 0.0000 1.7582 Ga
4.1967 4.1967 1.7582 Ga
1.5888 5.7855 1.7582 Pb
2.6078 1.5888 1.7582 Pb
5.7855 6.8045 1.7582 Pb
6.8045 2.6078 1.7582 Pb

LaPmEr6 (PBE-GGA, optimized geometry); symmetry = R-3m (166); E above lowest polymorph = 193.0 meV per atom; total magnetic moment = 0.0 Bohr magnetons per cell; calculated volume = 282.9 Å³ per cell; theoretical density = 7557 kg/m3
1.0
4.3170 2.4924 4.3817
-4.3170 2.4924 4.3817
0.0000 -4.9849 4.3817
La Pm Er
1 1 6
Cartesian
0.0000 0.0000 0.0000 La
0.0000 0.0000 6.5726 Pm
0.0000 -1.8156 3.6180 Er
-1.5724 0.9078 3.6180 Er
-1.5724 -0.9078 9.5272 Er
1.5724 0.9078 3.6180 Er
1.5724 -0.9078 9.5272 Er
0.0000 1.8156 9.5272 Er

TbSmPu2 (PBE-GGA, optimized geometry); symmetry = Fm-3m (225); E above lowest polymorph = 91.2 meV per atom; total magnetic moment = 12.8 Bohr magnetons per cell; calculated volume = 119.6 Å³ per cell; theoretical density = 11069 kg/m3
1.0
0.0000 3.9105 3.9105
3.9105 0.0000 3.9105
3.9105 3.9105 0.0000
Tb Sm Pu
1 1 2
Cartesian
0.0000 0.0000 0.0000 Tb
3.9105 3.9105 3.9105 Sm
1.9553 1.9553 1.9553 Pu
5.8658 5.8658 5.8658 Pu

SrPr2Ir9 (PBE-GGA, optimized geometry); symmetry = R-3m (166); total energy = -95.6 eV/cell; total magnetic moment = 0.0 Bohr magnetons per cell; calculated volume = 224.9 Å³ per cell; theoretical density = 15500 kg/m3
1.0
2.7127 1.5662 8.8230
-2.7127 1.5662 8.8230
0.0000 -3.1324 8.8230
Sr Pr Ir
1 2 9
Cartesian
0.0000 0.0000 0.0000 Sr
0.0000 0.0000 3.6702 Pr
0.0000 0.0000 22.7988 Pr
-1.3361 -0.7714 10.9551 Ir
0.0000 0.0000 8.7709 Ir
0.0000 -1.5428 15.5138 Ir
-1.3361 0.7714 15.5138 Ir
0.0000 0.0000 13.2345 Ir
1.3361 -0.7714 10.9551 Ir
0.0000 1.5428 10.9551 Ir
0.0000 0.0000 17.6980 Ir
1.3361 0.7714 15.5138 Ir